No. 1
Here is CeY2Se after structural relaxation from the Alexandria database. Energies are from GGA-PBE.

Space-group type = R3m
Energy above the most stable polymorph in this dataset = 0.0000 eV per atom
Raw formation energy = -0.74 eV per atom
Density = 5.58 g cm⁻³

Cell: 9.850 9.850 9.850 Å, 22.04 22.04 22.04°
Element x y z (fractional)
Ce 0.000 0.000 0.000
Y 0.566 0.566 0.566
Y 0.768 0.768 0.768
Se 0.167 0.167 0.167

***

No. 2
Here is Pm6H2Pb3 after structural relaxation from the Alexandria database. Energies are from GGA-PBE.

Space-group type = I4/mmm
Density = 8.24 g cm⁻³
VASP energy = -51.23 eV for the cell shown

Cell: 13.462 13.462 13.462 Å, 159.44 159.44 29.24°
Element x y z (fractional)
Pm 0.084 0.584 0.500
Pm 0.199 0.199 0.000
Pm 0.416 0.916 0.500
Pm 0.584 0.084 0.500
Pm 0.801 0.801 0.000
Pm 0.916 0.416 0.500
H 0.104 0.104 0.000
H 0.896 0.896 0.000
Pb 0.324 0.324 0.000
Pb 0.500 0.500 0.000
Pb 0.676 0.676 0.000

***

| no. | magnetization (Bohr magnetons per cell) | V (Å³/atom) |
| --- | --- | --- |
| 1 | 1.8 | 29.50 |
| 2 | 0.0 | 27.35 |